No. 1
# KBPb | Alexandria via LeMat-Bulk | GGA-PBE | relaxed
# total DFT energy (no corrections): -0.1147 Ha/atom
# formation enthalpy at 0 K: 0.71 eV/atom
# density: 6.3 g/cm3
# density of states at the Fermi level: 0.1 states/eV/f.u.
data_KBPb
_space_group_name_H-M_alt 'P 1'
_space_group_IT_number 1
_cell_length_a 8.109
_cell_length_b 4.571
_cell_length_c 7.318
_cell_angle_alpha 90.00
_cell_angle_beta 90.00
_cell_angle_gamma 90.00
loop_
_space_group_symop_operation_xyz
'x,y,z'
loop_
_atom_site_label
_atom_site_type_symbol
_atom_site_fract_x
_atom_site_fract_y
_atom_site_fract_z
K1 K 0.029 0.250 0.154
K2 K 0.471 0.750 0.654
K3 K 0.529 0.250 0.346
K4 K 0.971 0.750 0.846
B1 B 0.160 0.750 0.402
B2 B 0.340 0.250 0.902
B3 B 0.660 0.750 0.098
B4 B 0.840 0.250 0.598
Pb1 Pb 0.157 0.250 0.592
Pb2 Pb 0.343 0.750 0.092
Pb3 Pb 0.657 0.250 0.908
Pb4 Pb 0.843 0.750 0.408

No. 2
# Mg2MnBe2 | Alexandria via LeMat-Bulk | GGA-PBE | relaxed
# total DFT energy (no corrections): -0.1263 Ha/atom
# formation enthalpy at 0 K: 0.53 eV/atom
# density: 3.1 g/cm3
# density of states at the Fermi level: 4.0 states/eV/f.u.
data_Mg2MnBe2
_space_group_name_H-M_alt 'P 1'
_space_group_IT_number 1
_cell_length_a 6.772
_cell_length_b 6.772
_cell_length_c 2.874
_cell_angle_alpha 90.00
_cell_angle_beta 90.00
_cell_angle_gamma 90.00
loop_
_space_group_symop_operation_xyz
'x,y,z'
loop_
_atom_site_label
_atom_site_type_symbol
_atom_site_fract_x
_atom_site_fract_y
_atom_site_fract_z
Mg1 Mg 0.181 0.319 0.000
Mg2 Mg 0.319 0.819 0.000
Mg3 Mg 0.681 0.181 0.000
Mg4 Mg 0.819 0.681 0.000
Mn1 Mn 0.000 0.000 0.500
Mn2 Mn 0.500 0.500 0.500
Be1 Be 0.116 0.616 0.500
Be2 Be 0.384 0.116 0.500
Be3 Be 0.616 0.884 0.500
Be4 Be 0.884 0.384 0.500

No. 3
# BeCoPd3 | Alexandria via LeMat-Bulk | GGA-PBE | relaxed
# total DFT energy (no corrections): -0.1862 Ha/atom
# formation enthalpy at 0 K: 0.22 eV/atom
# density: 8.8 g/cm3
# density of states at the Fermi level: 4.9 states/eV/f.u.
data_BeCoPd3
_space_group_name_H-M_alt 'P 1'
_space_group_IT_number 1
_cell_length_a 4.182
_cell_length_b 4.182
_cell_length_c 4.182
_cell_angle_alpha 90.00
_cell_angle_beta 90.00
_cell_angle_gamma 90.00
loop_
_space_group_symop_operation_xyz
'x,y,z'
loop_
_atom_site_label
_atom_site_type_symbol
_atom_site_fract_x
_atom_site_fract_y
_atom_site_fract_z
Be1 Be 0.000 0.000 0.000
Co1 Co 0.500 0.500 0.500
Pd1 Pd 0.000 0.000 0.500
Pd2 Pd 0.000 0.500 0.000
Pd3 Pd 0.500 0.000 0.000

No. 4
# Hf2MoAu | Alexandria via LeMat-Bulk | GGA-PBE | relaxed
# total DFT energy (no corrections): -0.3264 Ha/atom
# formation enthalpy at 0 K: -0.38 eV/atom
# density: 14.2 g/cm3
# density of states at the Fermi level: 3.8 states/eV/f.u.
data_Hf2MoAu
_space_group_name_H-M_alt 'P 1'
_space_group_IT_number 1
_cell_length_a 3.401
_cell_length_b 3.401
_cell_length_c 6.550
_cell_angle_alpha 90.00
_cell_angle_beta 90.00
_cell_angle_gamma 90.00
loop_
_space_group_symop_operation_xyz
'x,y,z'
loop_
_atom_site_label
_atom_site_type_symbol
_atom_site_fract_x
_atom_site_fract_y
_atom_site_fract_z
Hf1 Hf 0.000 0.000 0.235
Hf2 Hf 0.000 0.000 0.765
Mo1 Mo 0.500 0.500 0.000
Au1 Au 0.500 0.500 0.500

No. 5
# CdHgAs | Alexandria via LeMat-Bulk | GGA-PBE | relaxed
# total DFT energy (no corrections): -0.0643 Ha/atom
# formation enthalpy at 0 K: 0.20 eV/atom
# density: 9.5 g/cm3
# density of states at the Fermi level: 1.2 states/eV/f.u.
data_CdHgAs
_space_group_name_H-M_alt 'P 1'
_space_group_IT_number 1
_cell_length_a 3.216
_cell_length_b 4.335
_cell_length_c 9.680
_cell_angle_alpha 90.00
_cell_angle_beta 90.00
_cell_angle_gamma 90.00
loop_
_space_group_symop_operation_xyz
'x,y,z'
loop_
_atom_site_label
_atom_site_type_symbol
_atom_site_fract_x
_atom_site_fract_y
_atom_site_fract_z
Cd1 Cd 0.000 0.000 0.000
Cd2 Cd 0.500 0.500 0.500
Hg1 Hg 0.000 0.000 0.675
Hg2 Hg 0.500 0.500 0.175
As1 As 0.000 0.000 0.352
As2 As 0.500 0.500 0.852

No. 6
# Pu2Mg2MnGe4 | Alexandria via LeMat-Bulk | GGA-PBE | relaxed
# total DFT energy (no corrections): -0.2510 Ha/atom
# formation enthalpy at 0 K: -0.22 eV/atom
# density: 8.3 g/cm3
# density of states at the Fermi level: 21.4 states/eV/f.u.
data_Pu2Mg2MnGe4
_space_group_name_H-M_alt 'P 1'
_space_group_IT_number 1
_cell_length_a 6.273
_cell_length_b 6.273
_cell_length_c 6.273
_cell_angle_alpha 118.89
_cell_angle_beta 118.89
_cell_angle_gamma 91.93
loop_
_space_group_symop_operation_xyz
'x,y,z'
loop_
_atom_site_label
_atom_site_type_symbol
_atom_site_fract_x
_atom_site_fract_y
_atom_site_fract_z
Pu1 Pu 0.250 0.750 0.500
Pu2 Pu 0.750 0.250 0.500
Mg1 Mg 0.207 0.207 0.000
Mg2 Mg 0.793 0.793 0.000
Mn1 Mn 0.500 0.500 0.000
Ge1 Ge 0.233 0.233 0.466
Ge2 Ge 0.233 0.767 0.000
Ge3 Ge 0.767 0.233 0.000
Ge4 Ge 0.767 0.767 0.534

No. 7
# ThScZn | Alexandria via LeMat-Bulk | GGA-PBE | relaxed
# total DFT energy (no corrections): -0.1893 Ha/atom
# formation enthalpy at 0 K: -0.14 eV/atom
# density: 7.8 g/cm3
# density of states at the Fermi level: 2.7 states/eV/f.u.
data_ThScZn
_space_group_name_H-M_alt 'P 1'
_space_group_IT_number 1
_cell_length_a 3.432
_cell_length_b 3.432
_cell_length_c 12.356
_cell_angle_alpha 90.00
_cell_angle_beta 90.00
_cell_angle_gamma 90.00
loop_
_space_group_symop_operation_xyz
'x,y,z'
loop_
_atom_site_label
_atom_site_type_symbol
_atom_site_fract_x
_atom_site_fract_y
_atom_site_fract_z
Th1 Th 0.000 0.000 0.000
Th2 Th 0.500 0.500 0.500
Sc1 Sc 0.000 0.000 0.304
Sc2 Sc 0.500 0.500 0.804
Zn1 Zn 0.000 0.000 0.676
Zn2 Zn 0.500 0.500 0.176

No. 8
# Dy5Y2Er4 | Alexandria via LeMat-Bulk | GGA-PBE | relaxed
# total DFT energy (no corrections): -0.1730 Ha/atom
# formation enthalpy at 0 K: 0.22 eV/atom
# density: 7.6 g/cm3
# density of states at the Fermi level: 16.8 states/eV/f.u.
data_Dy5Y2Er4
_space_group_name_H-M_alt 'P 1'
_space_group_IT_number 1
_cell_length_a 12.548
_cell_length_b 12.548
_cell_length_c 12.548
_cell_angle_alpha 164.05
_cell_angle_beta 138.33
_cell_angle_gamma 44.89
loop_
_space_group_symop_operation_xyz
'x,y,z'
loop_
_atom_site_label
_atom_site_type_symbol
_atom_site_fract_x
_atom_site_fract_y
_atom_site_fract_z
Dy1 Dy 0.000 0.000 0.000
Dy2 Dy 0.054 0.357 0.697
Dy3 Dy 0.339 0.643 0.697
Dy4 Dy 0.661 0.357 0.303
Dy5 Dy 0.946 0.643 0.303
Y1 Y 0.268 0.768 0.500
Y2 Y 0.732 0.232 0.500
Er1 Er 0.312 0.500 0.812
Er2 Er 0.403 0.903 0.500
Er3 Er 0.597 0.097 0.500
Er4 Er 0.688 0.500 0.188

Number 1: volume 271.27 Å³/cell. Number 2: volume 131.81 Å³/cell. Number 3: volume 73.14 Å³/cell. Number 4: volume 75.77 Å³/cell. Number 5: volume 134.98 Å³/cell. Number 6: volume 177.32 Å³/cell. Number 7: volume 145.50 Å³/cell. Number 8: volume 360.58 Å³/cell.